[1]
## YMgTa2O (PBE-GGA)

Data for an optimized crystal structure of YMgTa2O.

Cell lengths 4.301, 4.886, 4.301 Å; angles 90.00, 90.00, 90.00 degrees
Atoms (fractional coordinates):
Y1 0.500 0.500 0.500
Mg1 0.000 0.500 0.000
O1 0.000 0.000 0.000
Ta1 0.000 0.000 0.500
Ta2 0.500 0.000 0.000

Computed properties:
* SG: P4/mmm (123)


[2]
## Mg2TaZnO6 (PBE-GGA)

Data for an optimized crystal structure of Mg2TaZnO6.

Cell lengths 5.096, 6.974, 6.974 Å; angles 87.06, 90.29, 90.29 degrees
Atoms (fractional coordinates):
Mg1 0.331 0.861 0.639
Mg2 0.169 0.361 0.139
Mg3 0.669 0.139 0.361
Mg4 0.831 0.639 0.861
Ta1 0.250 0.888 0.112
Ta2 0.750 0.112 0.888
Zn1 0.250 0.441 0.559
Zn2 0.750 0.559 0.441
O1 0.056 0.948 0.831
O2 0.444 0.169 0.052
O3 0.944 0.052 0.169
O4 0.556 0.831 0.948
O5 0.422 0.892 0.353
O6 0.078 0.647 0.108
O7 0.578 0.108 0.647
O8 0.922 0.353 0.892
O9 0.015 0.669 0.595
O10 0.485 0.405 0.331
O11 0.985 0.331 0.405
O12 0.515 0.595 0.669

Computed properties:
* SG: C2/c (15)


[3]
## MgZrTaO6 (PBE-GGA)

Data for an optimized crystal structure of MgZrTaO6.

Cell lengths 4.851, 4.851, 9.519 Å; angles 90.00, 90.00, 90.00 degrees
Atoms (fractional coordinates):
Mg1 0.500 0.500 0.501
Mg2 0.000 0.000 0.001
Zr1 0.500 0.500 0.166
Zr2 0.000 0.000 0.666
Ta1 0.500 0.500 0.834
Ta2 0.000 0.000 0.334
O1 0.193 0.807 0.491
O2 0.807 0.193 0.491
O3 0.307 0.307 0.991
O4 0.693 0.693 0.991
O5 0.194 0.806 0.177
O6 0.806 0.194 0.177
O7 0.306 0.306 0.677
O8 0.694 0.694 0.677
O9 0.792 0.208 0.832
O10 0.208 0.792 0.832
O11 0.708 0.708 0.332
O12 0.292 0.292 0.332

Computed properties:
* SG: P4_2nm (102)


[4]
## MgZrTa2O (PBE-GGA)

Data for an optimized crystal structure of MgZrTa2O.

Cell lengths 4.283, 4.550, 4.283 Å; angles 90.00, 90.00, 90.00 degrees
Atoms (fractional coordinates):
Mg1 0.000 0.500 0.000
O1 0.000 0.000 0.000
Zr1 0.500 0.500 0.500
Ta1 0.000 0.000 0.500
Ta2 0.500 0.000 0.000

Computed properties:
* SG: P4/mmm (123)


How do the records compare in raw formation energy? In the order shown, they have -485; -2244; -2718; -626 meV per atom.
How do the records compare in DOS at the Fermi energy? In the order shown, they have 0.61; 0.19; 0.62; 0.62 states/eV per atom.